# LaFeO2 (GGA+U, relaxed)
# Magnetization   9.000 Bohr magnetons per cell
# V   17.996 Å³/atom
# E_tot   -7.223 eV per atom
data_LaFeO2
_cell_length_a 3.8004
_cell_length_b 3.8004
_cell_length_c 17.2647
_cell_angle_alpha 90.00
_cell_angle_beta 90.00
_cell_angle_gamma 120.00
_symmetry_space_group_name_H-M 'R -3 m'
_symmetry_Int_Tables_number 166
_symmetry_space_group_name_Hall '-R 3 2"'
loop_
_atom_site_label
_atom_site_type_symbol
_atom_site_fract_x
_atom_site_fract_y
_atom_site_fract_z
La1 La 0.0000 0.0000 0.0000
Fe1 Fe 0.0000 0.0000 0.5000
O1 O 0.0000 0.0000 0.3927